A plane-wave DFT calculation with PBE+U was carried out for an optimized crystal structure of TiCr2O.

a b c (Å): 5.9794 5.9794 8.3590
angles (deg): 90.00 90.00 90.00
With the nearest neighbours (Å) after each atom.
Space group I-42d (No. 122)
Asymmetric unit:
Ti 0.0000 0.0000 0.0000 x4  4 Cr 3.00
Cr 0.1014 0.2500 0.6250 x8  2 O 1.92
O 0.0000 0.0000 0.5000 x4  4 Cr 1.92

Output
Its total DFT energy (no corrections) is -7.0154 eV per atom. The volume comes out at 18.68 A^3/atom. Its total magnetization is 1.5000 μB per atom. The calculation puts the density at 3.731 g/cm³.